LiRe2Pt, optimized geometry, DFT GGA-PBE; crystal system = orthorhombic; DFT formation energy = 0.00 eV per atom; offset from the most stable computed form = 0.045 eV/atom; electronic total energy = -32.87 eV/cell
1.0
2.722 0.000 0.000
0.000 3.866 0.000
0.000 0.000 5.482
Li Pt Re
1 1 2
Direct
0.000 0.000 0.516
0.500 0.500 0.722
0.000 0.000 0.020
0.500 0.500 0.243



Ba5CdS6, optimized geometry, DFT GGA-PBE; crystal system = monoclinic; electronic total energy = -56.30 eV/cell; raw formation energy = -1.7505 eV/atom
1.0
7.722 0.218 0.000
2.383 7.370 0.000
1.191 3.685 6.709
Ba Cd S
5 1 6
Direct
0.500 0.166 0.668
0.000 0.333 0.334
0.500 0.500 0.000
0.000 0.667 0.666
0.500 0.834 0.332
0.000 0.000 0.000
0.760 0.080 0.316
0.240 0.603 0.316
0.239 0.235 0.000
0.761 0.765 0.000
0.760 0.397 0.684
0.240 0.920 0.684



Al3AgRh2, optimized geometry, DFT GGA-PBE; crystal system = tetragonal; DFT formation energy = -0.73 eV per atom; electronic total energy = -33.14 eV/cell
1.0
-0.031 0.659 -2.924
-2.959 -0.475 -0.076
-1.553 9.331 2.121
Al Ag Rh
3 1 2
Direct
0.000 0.000 0.000
0.000 0.000 0.689
0.000 0.000 0.311
0.500 0.500 0.500
0.500 0.500 0.841
0.500 0.500 0.159



electronic total energy of number 3 (Al3AgRh2)? -33.14 eV/cell



Among the records above, which one has the lowest electronic total energy? Ba5CdS6



What is the electronic total energy in the second record? -56.30 eV/cell